Here is a relaxed structure of KPr2Ho3Te6 from the Alexandria database. Energies are from GGA-PBE.

Summary:
**Crystal system**: monoclinic
**E_form (uncorrected)**: -1.35 eV per atom
**Electronic total energy**: -4.951 eV per atom

a b c (Å): 19.730 4.395 9.156
angles (deg): 90.00 105.11 90.00
Space group C2/m (No. 12)
Symmetry-distinct sites (fractional):
K1 0.000 0.000 0.000 (multiplicity 2)
Pr1 0.173 0.500 0.350 (multiplicity 4)
Ho1 0.000 0.000 0.500 (multiplicity 2)
Ho2 0.164 0.500 0.826 (multiplicity 4)
Te1 0.001 0.500 0.732 (multiplicity 4)
Te2 0.161 0.000 0.595 (multiplicity 4)
Te3 0.174 0.000 0.078 (multiplicity 4)